(1)
# KRb2NaSc, optimized geometry, DFT GGA-PBEsol
# * SG: P4/mmm (123)
# * E_form: 768 meV/atom
data_KRb2NaSc
_cell_length_a 7.111
_cell_length_b 7.201
_cell_length_c 7.201
_cell_angle_alpha 90.00
_cell_angle_beta 90.00
_cell_angle_gamma 90.00
_space_group_name_H-M_alt 'P 1'
_space_group_IT_number 1
_space_group_name_Hall 'P 1'
loop_
_atom_site_label
_atom_site_type_symbol
_atom_site_fract_x
_atom_site_fract_y
_atom_site_fract_z
Sc1 Sc 0.000 0.000 0.000
Na1 Na 0.500 0.500 0.500
K1 K 0.500 0.000 0.000
Rb1 Rb 0.000 0.000 0.500
Rb2 Rb 0.000 0.500 0.000



(2)
# Tc2PH2, optimized geometry, DFT GGA-PBEsol
# * SG: I4/mmm (139)
data_Tc2PH2
_cell_length_a 3.658
_cell_length_b 3.658
_cell_length_c 4.410
_cell_angle_alpha 114.50
_cell_angle_beta 114.50
_cell_angle_gamma 90.00
_space_group_name_H-M_alt 'P 1'
_space_group_IT_number 1
_space_group_name_Hall 'P 1'
loop_
_atom_site_label
_atom_site_type_symbol
_atom_site_fract_x
_atom_site_fract_y
_atom_site_fract_z
P1 P 0.000 0.000 0.000
Tc1 Tc 0.326 0.326 0.652
Tc2 Tc 0.674 0.674 0.348
H1 H 0.250 0.750 0.500
H2 H 0.750 0.250 0.500



Calculated values (eV/atom) of E_tot for the records, taken in order: -1.47 -6.74.
Calculated values (μB/atom) of spin magnetization for the records, taken in order: 0.55 0.00.